An optimized crystal structure of YAlCu2. Source: Alexandria, functional GGA-PBE.

The calculation puts the total magnetization at 0.000 μB per atom. The calculation puts the total energy at -19.1 eV/cell. The volume is 16.968 A^3/atom.

abc: 3.1001 3.2385 6.7603
angles: 90.00 90.00 90.00
Space group Pmmm (No. 47)
Symmetry-distinct sites (fractional):
Y 0.0000 0.0000 0.0000
Al 0.0000 0.0000 0.5000
Cu 0.5000 0.5000 0.2981